The following is a DFT calculation (GGA-PBE) of YZrOs2 after structural relaxation.

```
4
Lattice="2.951 0.000 0.000 0.000 2.951 0.000 0.000 0.000 9.030" Properties=species:S:1:pos:R:3 pbc="T T T"
Y 0.000 0.000 0.000
Zr 1.476 1.476 3.033
Os 0.000 0.000 5.196
Os 1.476 1.476 6.781
```

Calculated values
The value obtained for the calculated total energy is -9.26 eV/atom. The value obtained for the formation energy is 0.107 eV/atom.